Below is a relaxed Ge2SbIr crystal, with properties calculated at the PBE level.

Cell: 4.727 4.727 4.727 Å, 60.00 60.00 60.00°
Fractional coordinates of all 4 atoms:
Ge1 0.000 0.000 0.000
Ge2 0.250 0.250 0.250
Sb1 0.500 0.500 0.500
Ir1 0.750 0.750 0.750

Below is a relaxed GeSbIr crystal, with properties calculated at the PBE level.

Excess energy over the best structure of this formula in the dataset (meV/atom): 0

Cell: 4.410 4.410 4.410 Å, 60.00 60.00 60.00°
Fractional coordinates of all 3 atoms:
Ge1 0.000 0.000 0.000
Sb1 0.500 0.500 0.500
Ir1 0.250 0.250 0.250

Below is a relaxed GeSb2Ir crystal, with properties calculated at the PBE level.

Cell: 4.888 4.888 4.888 Å, 60.00 60.00 60.00°
Fractional coordinates of all 4 atoms:
Ge1 0.000 0.000 0.000
Sb1 0.500 0.500 0.500
Sb2 0.750 0.750 0.750
Ir1 0.250 0.250 0.250

Below is a relaxed GeSbIr2 crystal, with properties calculated at the PBE level.

Cell: 3.830 6.497 5.717 Å, 90.00 90.00 90.00°
Fractional coordinates of all 8 atoms:
Ge1 0.000 0.146 0.000
Ge2 0.000 0.854 0.500
Sb1 0.500 0.339 0.393
Sb2 0.500 0.661 0.893
Ir1 0.000 0.429 0.720
Ir2 0.000 0.571 0.220
Ir3 0.500 0.033 0.701
Ir4 0.500 0.967 0.201

no.,total energy (eV for the cell shown)
1,-21.0
2,-18.2
3,-19.8
4,-55.0